# 1
First-principles (GGA-PBE) data for a geometry-optimized Hf2H2Se structure, as listed in the Alexandria database.

Lattice parameters (Å, degrees): 5.631 5.631 6.343 116.35 116.35 90.00
Fractional positions:
H 0.661 0.902 0.322
Hf 0.449 0.197 0.394
Hf 0.945 0.197 0.394
Se 0.215 0.715 0.430
H 0.669 0.411 0.822
Se 0.965 0.965 0.930
Hf 0.447 0.695 0.894
Hf 0.447 0.199 0.894
H 0.152 0.411 0.822
H 0.661 0.419 0.322

Results
Uncorrected energy ... -6.2506 eV/atom
Symmetry ... I4_1md
Magnetization ... 0.000 μB per formula unit

---

# 2
First-principles (GGA-PBE) data for a geometry-optimized Hf2HSe structure, as listed in the Alexandria database.

Lattice parameters (Å, degrees): 6.379 6.379 5.459 54.25 54.25 90.00
Fractional positions:
Hf 0.875 0.786 0.750
Hf 0.214 0.625 0.250
H 0.500 0.500 0.000
Hf 0.536 0.125 0.250
Se 0.750 0.250 0.500
Hf 0.375 0.464 0.750
H 0.250 0.750 0.500
Se 0.000 0.000 0.000

Results
Symmetry ... I-42d
Energy relative to the lowest polymorph listed for this composition ... 0.006 eV per atom
Magnetization ... 0.000 μB per formula unit

---

# 3
First-principles (GGA-PBE) data for a geometry-optimized HfHSe3 structure, as listed in the Alexandria database.

Lattice parameters (Å, degrees): 5.189 5.189 5.189 90.00 90.00 90.00
Fractional positions:
H 0.500 0.500 0.500
Hf 0.000 0.000 0.000
Se 0.000 0.500 0.000
Se 0.000 0.000 0.500
Se 0.500 0.000 0.000

Results
Symmetry ... Pm-3m
Energy relative to the lowest polymorph listed for this composition ... 0.000 eV per atom
Magnetization ... 1.009 μB per formula unit

---

# 4
First-principles (GGA-PBE) data for a geometry-optimized HfH2Se structure, as listed in the Alexandria database.

Lattice parameters (Å, degrees): 3.973 3.973 7.072 73.69 73.69 90.00
Fractional positions:
H 0.876 0.625 0.250
Se 0.250 0.750 0.500
H 0.375 0.126 0.750
Se 0.500 0.500 0.000
Hf 0.750 0.250 0.500
H 0.875 0.124 0.750
H 0.874 0.125 0.250
Hf 0.000 0.000 0.000

Results
Symmetry ... I4_1/amd
Energy relative to the lowest polymorph listed for this composition ... 0.388 eV per atom
Magnetization ... 0.000 μB per formula unit

---

Calculated volume / Å³ per atom: 15.66 15.64 27.94 12.81